First-principles (PBE-GGA) data for a geometry-optimized Ni2AsPb structure, as listed in Alexandria.

a = 4.4846 Å, b = 4.4846 Å, c = 8.2322 Å
α = 74.19°, β = 74.19°, γ = 90.00°
Element x y z (fractional)
Pb 0.0000 0.0000 0.0000
Pb 0.7500 0.2500 0.5000
Ni 0.5141 0.1250 0.2500
Ni 0.2359 0.6250 0.2500
Ni 0.3750 0.4859 0.7500
Ni 0.8750 0.7641 0.7500
As 0.5000 0.5000 0.0000
As 0.2500 0.7500 0.5000

## Properties
ρ   8.7 g/cm3
D(E_F)   2.6 states/eV/f.u.
DFT formation energy   1.75 kcal/mol of atoms